Entry from Alexandria: an optimized crystal structure of ScGeSe2Br (GGA-PBE).

It has space group P4/mmm (No. 123), with a = 5.075 Å, b = 5.075 Å, c = 5.052 Å, α = 90.00°, β = 90.00° and γ = 90.00°. The inequivalent atoms are Sc at (0.000, 0.000, 0.000), Ge at (0.500, 0.500, 0.500), Se at (0.000, 0.500, 0.500) and Br at (0.500, 0.500, 0.000).

For the theoretical density, the calculation gives 4.536 Mg/m³. Its density of states at the Fermi level is 3.676 states/eV per cell. Its total energy is -4.072 eV/atom. The energy above the most stable polymorph in this dataset comes out at 344 meV per atom. Its total magnetization is 0.13 μB/atom. As for the raw formation energy: -3.536 kcal/mol of atoms.

***

Entry from Alexandria: an optimized crystal structure of Hg2BiPb3 (GGA-PBE).

It has space group P4/mmm (No. 123), with a = 3.460 Å, b = 3.460 Å, c = 14.699 Å, α = 90.00°, β = 90.00° and γ = 90.00°. The inequivalent atoms are Hg at (0.000, 0.000, 0.161), Bi at (0.000, 0.000, 0.500), Pb at (0.500, 0.500, 0.000) and Pb at (0.500, 0.500, 0.319).

For the theoretical density, the calculation gives 11.625 Mg/m³. Its density of states at the Fermi level is 3.496 states/eV per cell. Its total energy is -2.563 eV/atom. The energy above the most stable polymorph in this dataset comes out at 0 meV per atom. Its total magnetization is 0.00 μB/atom.

***

Entry from Alexandria: an optimized crystal structure of LaTe2Au2 (GGA-PBE).

It has space group P4/mbm (No. 127), with a = 7.919 Å, b = 7.919 Å, c = 4.140 Å, α = 90.00°, β = 90.00° and γ = 90.00°. The inequivalent atoms are La at (0.000, 0.000, 0.000), Te at (0.199, 0.301, 0.500) and Au at (0.119, 0.619, 0.000).

For the theoretical density, the calculation gives 10.081 Mg/m³. Its density of states at the Fermi level is 4.024 states/eV per cell. Its total energy is -4.197 eV/atom. The energy above the most stable polymorph in this dataset comes out at 0 meV per atom. Its total magnetization is 0.00 μB/atom. As for the raw formation energy: -14.853 kcal/mol of atoms.

***

Entry from Alexandria: an optimized crystal structure of SrHo3Cd4 (GGA-PBE).

It has space group P4/mmm (No. 123), with a = 5.354 Å, b = 5.354 Å, c = 7.644 Å, α = 90.00°, β = 90.00° and γ = 90.00°. The inequivalent atoms are Sr at (0.000, 0.000, 0.000), Ho at (0.000, 0.000, 0.500), Ho at (0.500, 0.500, 0.000), Ho at (0.500, 0.500, 0.500) and Cd at (0.000, 0.500, 0.265).

For the theoretical density, the calculation gives 7.820 Mg/m³. Its density of states at the Fermi level is 6.090 states/eV per cell. Its total energy is -2.674 eV/atom. Its total magnetization is 0.00 μB/atom.

***

Entry from Alexandria: an optimized crystal structure of Dy4TlIn2 (GGA-PBE).

It has space group P2_1/m (No. 11), with a = 7.362 Å, b = 6.619 Å, c = 9.075 Å, α = 90.00°, β = 110.74° and γ = 90.00°. The inequivalent atoms are Dy at (0.090, 0.250, 0.053), Dy at (0.162, 0.006, 0.725), Dy at (0.306, 0.750, 0.329), Tl at (0.490, 0.750, 0.697), In at (0.219, 0.250, 0.444) and In at (0.444, 0.750, 0.035).

For the theoretical density, the calculation gives 8.705 Mg/m³. Its density of states at the Fermi level is 13.328 states/eV per cell. Its total energy is -3.928 eV/atom. The energy above the most stable polymorph in this dataset comes out at 90 meV per atom. Its total magnetization is 0.00 μB/atom.

***

Entry from Alexandria: an optimized crystal structure of ZnAg2H (GGA-PBE).

It has space group I-42d (No. 122), with a = 6.354 Å, b = 6.354 Å, c = 5.577 Å, α = 90.00°, β = 90.00° and γ = 90.00°. The inequivalent atoms are Zn at (0.000, 0.000, 0.000), Ag at (0.162, 0.250, 0.625) and H at (0.000, 0.000, 0.500).

For the theoretical density, the calculation gives 8.325 Mg/m³. Its density of states at the Fermi level is 4.154 states/eV per cell. Its total energy is -2.343 eV/atom. Its total magnetization is 0.00 μB/atom.

***

Entry from Alexandria: an optimized crystal structure of Sr6LiCa8 (GGA-PBE).

It has space group R-3 (No. 148, hexagonal axes), with a = 10.8817 Å, b = 10.8817 Å, c = 20.2342 Å, α = 90.00°, β = 90.00° and γ = 120.00°. The inequivalent atoms are Sr at (0.0341, 0.7955, 0.4125), Li at (0.0000, 0.0000, 0.0000), Ca at (0.0000, 0.0000, 0.2412) and Ca at (0.0515, 0.8019, 0.9109).

For the theoretical density, the calculation gives 2.049 Mg/m³. Its density of states at the Fermi level is 64.057 states/eV per cell. Its total energy is -1.816 eV/atom. Its total magnetization is 0.00 μB/atom.

***

Entry from Alexandria: an optimized crystal structure of HfNb2VH (GGA-PBE).

It has space group P4/mmm (No. 123), with a = 3.990 Å, b = 3.990 Å, c = 4.775 Å, α = 90.00°, β = 90.00° and γ = 90.00°. The inequivalent atoms are Hf at (0.000, 0.000, 0.000), Nb at (0.000, 0.500, 0.500), V at (0.500, 0.500, 0.000) and H at (0.500, 0.500, 0.500).

For the theoretical density, the calculation gives 9.094 Mg/m³. Its density of states at the Fermi level is 6.012 states/eV per cell. Its total energy is -8.423 eV/atom. Its total magnetization is 0.24 μB/atom.